No. 1
Here is a relaxed structure of Te5P3 from Alexandria via LeMat-Bulk. Energies are from PBE.

CIF file:
```
data_Te5P3
_chemical_formula_sum 'Te10 P6'
_symmetry_space_group_name_H-M 'P 1 m 1'
_symmetry_Int_Tables_number 6
_symmetry_space_group_name_Hall 'P -2y'
_cell_length_a 9.168
_cell_length_b 6.864
_cell_length_c 9.627
_cell_angle_alpha 90.00
_cell_angle_beta 109.91
_cell_angle_gamma 90.00
loop_
_atom_site_label
_atom_site_fract_x
_atom_site_fract_y
_atom_site_fract_z
Te1 0.000 0.000 0.000
Te2 0.039 0.500 0.024
Te3 0.088 0.000 0.375
Te4 0.290 0.246 0.817
Te5 0.534 0.242 0.498
Te6 0.588 0.500 0.128
Te7 0.635 0.000 0.131
Te8 0.686 0.500 0.829
P1 0.075 0.500 0.780
P2 0.108 0.000 0.643
P3 0.345 0.000 0.328
P4 0.393 0.500 0.651
P5 0.429 0.500 0.299
P6 0.713 0.000 0.910
```

Offset from the most stable computed form ... 42 meV/atom
Final energy ... -3.7149 eV per atom
DOS(E_F) ... 2.1 states/eV/f.u.

***

No. 2
Here is a relaxed structure of Te2P from Alexandria via LeMat-Bulk. Energies are from PBE.

CIF file:
```
data_Te2P
_chemical_formula_sum 'Te2 P1'
_symmetry_space_group_name_H-M 'P -3 m 1'
_symmetry_Int_Tables_number 164
_symmetry_space_group_name_Hall '-P 3 2"'
_cell_length_a 4.0792
_cell_length_b 4.0792
_cell_length_c 5.4442
_cell_angle_alpha 90.00
_cell_angle_beta 90.00
_cell_angle_gamma 120.00
loop_
_atom_site_label
_atom_site_fract_x
_atom_site_fract_y
_atom_site_fract_z
Te1 0.3333 0.6667 0.2945
P1 0.0000 0.0000 0.0000
```

Offset from the most stable computed form ... 34 meV/atom
Final energy ... -3.6884 eV per atom
DOS(E_F) ... 1.7 states/eV/f.u.

***

No. 3
Here is a relaxed structure of Te3P5 from Alexandria via LeMat-Bulk. Energies are from PBE.

CIF file:
```
data_Te3P5
_chemical_formula_sum 'Te6 P10'
_symmetry_space_group_name_H-M 'P 63/m c m'
_symmetry_Int_Tables_number 193
_symmetry_space_group_name_Hall '-P 6c 2'
_cell_length_a 9.5776
_cell_length_b 9.5776
_cell_length_c 4.5076
_cell_angle_alpha 90.00
_cell_angle_beta 90.00
_cell_angle_gamma 120.00
loop_
_atom_site_label
_atom_site_fract_x
_atom_site_fract_y
_atom_site_fract_z
Te1 0.0000 0.3453 0.2500
P1 0.0000 0.1916 0.7500
P2 0.3333 0.6667 0.0000
```

Offset from the most stable computed form ... 83 meV/atom
Final energy ... -3.9022 eV per atom
DOS(E_F) ... 4.4 states/eV/f.u.

***

No. 4
Here is a relaxed structure of Te2P from Alexandria via LeMat-Bulk. Energies are from PBE.

CIF file:
```
data_Te2P
_chemical_formula_sum 'Te4 P2'
_symmetry_space_group_name_H-M 'P 63/m m c'
_symmetry_Int_Tables_number 194
_symmetry_space_group_name_Hall '-P 6c 2c'
_cell_length_a 4.8353
_cell_length_b 4.8353
_cell_length_c 7.2809
_cell_angle_alpha 90.00
_cell_angle_beta 90.00
_cell_angle_gamma 120.00
loop_
_atom_site_label
_atom_site_fract_x
_atom_site_fract_y
_atom_site_fract_z
Te1 0.0000 0.0000 0.0000
Te2 0.3333 0.6667 0.2500
P1 0.3333 0.6667 0.7500
```

Offset from the most stable computed form ... 409 meV/atom
Final energy ... -3.3134 eV per atom
DOS(E_F) ... 2.2 states/eV/f.u.

***

No. 5
Here is a relaxed structure of Te2P from Alexandria via LeMat-Bulk. Energies are from PBE.

CIF file:
```
data_Te2P
_chemical_formula_sum 'Te8 P4'
_symmetry_space_group_name_H-M 'C 1 m 1'
_symmetry_Int_Tables_number 8
_symmetry_space_group_name_Hall 'C -2y'
_cell_length_a 11.727
_cell_length_b 3.557
_cell_length_c 9.273
_cell_angle_alpha 90.00
_cell_angle_beta 106.92
_cell_angle_gamma 90.00
loop_
_atom_site_label
_atom_site_fract_x
_atom_site_fract_y
_atom_site_fract_z
Te1 0.000 0.000 0.000
Te2 0.017 0.500 0.394
Te3 0.248 0.000 0.162
Te4 0.285 0.000 0.648
P1 0.002 0.500 0.790
P2 0.443 0.500 0.552
```

Offset from the most stable computed form ... 109 meV/atom
Final energy ... -3.6130 eV per atom
DOS(E_F) ... 1.3 states/eV/f.u.

***

No. 6
Here is a relaxed structure of Te2P from Alexandria via LeMat-Bulk. Energies are from PBE.

CIF file:
```
data_Te2P
_chemical_formula_sum 'Te8 P4'
_symmetry_space_group_name_H-M 'C m c m'
_symmetry_Int_Tables_number 63
_symmetry_space_group_name_Hall '-C 2c 2'
_cell_length_a 4.271
_cell_length_b 22.594
_cell_length_c 3.742
_cell_angle_alpha 90.00
_cell_angle_beta 90.00
_cell_angle_gamma 90.00
loop_
_atom_site_label
_atom_site_fract_x
_atom_site_fract_y
_atom_site_fract_z
Te1 0.000 0.047 0.250
Te2 0.000 0.307 0.750
P1 0.000 0.382 0.250
```

Offset from the most stable computed form ... 98 meV/atom
Final energy ... -3.6240 eV per atom
DOS(E_F) ... 0.9 states/eV/f.u.

***

No. 7
Here is a relaxed structure of Te2P from Alexandria via LeMat-Bulk. Energies are from PBE.

CIF file:
```
data_Te2P
_chemical_formula_sum 'Te4 P2'
_symmetry_space_group_name_H-M 'P n n m'
_symmetry_Int_Tables_number 58
_symmetry_space_group_name_Hall '-P 2 2n'
_cell_length_a 5.131
_cell_length_b 7.872
_cell_length_c 3.962
_cell_angle_alpha 90.00
_cell_angle_beta 90.00
_cell_angle_gamma 90.00
loop_
_atom_site_label
_atom_site_fract_x
_atom_site_fract_y
_atom_site_fract_z
Te1 0.196 0.163 0.000
P1 0.000 0.500 0.000
```

Offset from the most stable computed form ... 138 meV/atom
Final energy ... -3.5846 eV per atom
DOS(E_F) ... 1.8 states/eV/f.u.

***

No. 8
Here is a relaxed structure of Te3P5 from Alexandria via LeMat-Bulk. Energies are from PBE.

CIF file:
```
data_Te3P5
_chemical_formula_sum 'Te6 P10'
_symmetry_space_group_name_H-M 'C m m m'
_symmetry_Int_Tables_number 65
_symmetry_space_group_name_Hall '-C 2 2'
_cell_length_a 6.863
_cell_length_b 15.889
_cell_length_c 3.671
_cell_angle_alpha 90.00
_cell_angle_beta 90.00
_cell_angle_gamma 90.00
loop_
_atom_site_label
_atom_site_fract_x
_atom_site_fract_y
_atom_site_fract_z
Te1 0.000 0.000 0.000
Te2 0.000 0.317 0.500
P1 0.000 0.500 0.000
P2 0.215 0.500 0.500
P3 0.250 0.250 0.000
```

Offset from the most stable computed form ... 0 meV/atom
Final energy ... -3.9849 eV per atom
DOS(E_F) ... 5.1 states/eV/f.u.

***

No. 9
Here is a relaxed structure of Te2P from Alexandria via LeMat-Bulk. Energies are from PBE.

CIF file:
```
data_Te2P
_chemical_formula_sum 'Te8 P4'
_symmetry_space_group_name_H-M 'I 4/m c m'
_symmetry_Int_Tables_number 140
_symmetry_space_group_name_Hall '-I 4 2c'
_cell_length_a 6.443
_cell_length_b 6.443
_cell_length_c 7.238
_cell_angle_alpha 90.00
_cell_angle_beta 90.00
_cell_angle_gamma 90.00
loop_
_atom_site_label
_atom_site_fract_x
_atom_site_fract_y
_atom_site_fract_z
Te1 0.174 0.326 0.000
P1 0.000 0.000 0.250
```

Offset from the most stable computed form ... 284 meV/atom
Final energy ... -3.4387 eV per atom
DOS(E_F) ... 1.8 states/eV/f.u.

***

No. 10
Here is a relaxed structure of Te2P from Alexandria via LeMat-Bulk. Energies are from PBE.

CIF file:
```
data_Te2P
_chemical_formula_sum 'Te8 P4'
_symmetry_space_group_name_H-M 'P 63/m m c'
_symmetry_Int_Tables_number 194
_symmetry_space_group_name_Hall '-P 6c 2c'
_cell_length_a 7.8169
_cell_length_b 7.8169
_cell_length_c 8.0236
_cell_angle_alpha 90.00
_cell_angle_beta 90.00
_cell_angle_gamma 120.00
loop_
_atom_site_label
_atom_site_fract_x
_atom_site_fract_y
_atom_site_fract_z
Te1 0.0000 0.0000 0.0000
Te2 0.1823 0.3645 0.2500
P1 0.3333 0.6667 0.0471
```

Offset from the most stable computed form ... 212 meV/atom
Final energy ... -3.5101 eV per atom
DOS(E_F) ... 1.6 states/eV/f.u.

***

No. 11
Here is a relaxed structure of Te2P3 from Alexandria via LeMat-Bulk. Energies are from PBE.

CIF file:
```
data_Te2P3
_chemical_formula_sum 'Te2 P3'
_symmetry_space_group_name_H-M 'P -3 m 1'
_symmetry_Int_Tables_number 164
_symmetry_space_group_name_Hall '-P 3 2"'
_cell_length_a 4.8704
_cell_length_b 4.8704
_cell_length_c 5.7874
_cell_angle_alpha 90.00
_cell_angle_beta 90.00
_cell_angle_gamma 120.00
loop_
_atom_site_label
_atom_site_fract_x
_atom_site_fract_y
_atom_site_fract_z
Te1 0.3333 0.6667 0.2646
P1 0.0000 0.0000 0.5000
P2 0.3333 0.6667 0.7199
```

Final energy ... -3.8385 eV per atom
DOS(E_F) ... 3.3 states/eV/f.u.

***

No. 12
Here is a relaxed structure of Te5P3 from Alexandria via LeMat-Bulk. Energies are from PBE.

CIF file:
```
data_Te5P3
_chemical_formula_sum 'Te10 P6'
_symmetry_space_group_name_H-M 'P 1'
_symmetry_Int_Tables_number 1
_symmetry_space_group_name_Hall 'P 1'
_cell_length_a 7.795
_cell_length_b 8.624
_cell_length_c 9.664
_cell_angle_alpha 102.13
_cell_angle_beta 98.77
_cell_angle_gamma 116.87
loop_
_atom_site_label
_atom_site_fract_x
_atom_site_fract_y
_atom_site_fract_z
Te1 0.000 0.000 0.000
Te2 0.008 0.558 0.769
Te3 0.081 0.610 0.165
Te4 0.301 0.316 0.787
Te5 0.369 0.533 0.407
Te6 0.474 0.164 0.406
Te7 0.573 0.144 0.983
Te8 0.590 0.771 0.163
Te9 0.700 0.949 0.584
Te10 0.926 0.643 0.404
P1 0.227 0.008 0.810
P2 0.557 0.404 0.278
P3 0.606 0.858 0.931
P4 0.738 0.083 0.373
P5 0.859 0.652 0.970
P6 0.959 0.257 0.804
```

Offset from the most stable computed form ... 0 meV/atom
Final energy ... -3.7572 eV per atom
DOS(E_F) ... 0.8 states/eV/f.u.

***

No. 13
Here is a relaxed structure of Te2P from Alexandria via LeMat-Bulk. Energies are from PBE.

CIF file:
```
data_Te2P
_chemical_formula_sum 'Te2 P1'
_symmetry_space_group_name_H-M 'P 6/m m m'
_symmetry_Int_Tables_number 191
_symmetry_space_group_name_Hall '-P 6 2'
_cell_length_a 5.4144
_cell_length_b 5.4144
_cell_length_c 2.9675
_cell_angle_alpha 90.00
_cell_angle_beta 90.00
_cell_angle_gamma 120.00
loop_
_atom_site_label
_atom_site_fract_x
_atom_site_fract_y
_atom_site_fract_z
Te1 0.3333 0.6667 0.0000
P1 0.0000 0.0000 0.5000
```

Offset from the most stable computed form ... 596 meV/atom
Final energy ... -3.1268 eV per atom
DOS(E_F) ... 1.9 states/eV/f.u.

***

No. 14
Here is a relaxed structure of Te4P5 from Alexandria via LeMat-Bulk. Energies are from PBE.

CIF file:
```
data_Te4P5
_chemical_formula_sum 'Te8 P10'
_symmetry_space_group_name_H-M 'I 4/m m m'
_symmetry_Int_Tables_number 139
_symmetry_space_group_name_Hall '-I 4 2'
_cell_length_a 11.292
_cell_length_b 11.292
_cell_length_c 3.536
_cell_angle_alpha 90.00
_cell_angle_beta 90.00
_cell_angle_gamma 90.00
loop_
_atom_site_label
_atom_site_fract_x
_atom_site_fract_y
_atom_site_fract_z
Te1 0.000 0.242 0.000
P1 0.000 0.000 0.000
P2 0.198 0.198 0.500
```

Final energy ... -3.9522 eV per atom
DOS(E_F) ... 4.7 states/eV/f.u.

***

No. 15
Here is a relaxed structure of Te4P from Alexandria via LeMat-Bulk. Energies are from PBE.

CIF file:
```
data_Te4P
_chemical_formula_sum 'Te8 P2'
_symmetry_space_group_name_H-M 'I m -3 m'
_symmetry_Int_Tables_number 229
_symmetry_space_group_name_Hall '-I 4 2 3'
_cell_length_a 6.683
_cell_length_b 6.683
_cell_length_c 6.683
_cell_angle_alpha 90.00
_cell_angle_beta 90.00
_cell_angle_gamma 90.00
loop_
_atom_site_label
_atom_site_fract_x
_atom_site_fract_y
_atom_site_fract_z
Te1 0.250 0.250 0.250
P1 0.000 0.000 0.000
```

Offset from the most stable computed form ... 0 meV/atom
Final energy ... -3.2305 eV per atom
DOS(E_F) ... 2.2 states/eV/f.u.

***

No. 16
Here is a relaxed structure of TeP5 from Alexandria via LeMat-Bulk. Energies are from PBE.

CIF file:
```
data_TeP5
_chemical_formula_sum 'Te1 P5'
_symmetry_space_group_name_H-M 'P 6/m m m'
_symmetry_Int_Tables_number 191
_symmetry_space_group_name_Hall '-P 6 2'
_cell_length_a 4.9951
_cell_length_b 4.9951
_cell_length_c 4.7672
_cell_angle_alpha 90.00
_cell_angle_beta 90.00
_cell_angle_gamma 120.00
loop_
_atom_site_label
_atom_site_fract_x
_atom_site_fract_y
_atom_site_fract_z
Te1 0.0000 0.0000 0.0000
P1 0.0000 0.5000 0.5000
P2 0.3333 0.6667 0.0000
```

Offset from the most stable computed form ... 482 meV/atom
Final energy ... -4.2853 eV per atom
DOS(E_F) ... 1.8 states/eV/f.u.

***

No. 17
Here is a relaxed structure of Te2P from Alexandria via LeMat-Bulk. Energies are from PBE.

CIF file:
```
data_Te2P
_chemical_formula_sum 'Te8 P4'
_symmetry_space_group_name_H-M 'C m c m'
_symmetry_Int_Tables_number 63
_symmetry_space_group_name_Hall '-C 2c 2'
_cell_length_a 3.934
_cell_length_b 14.215
_cell_length_c 5.744
_cell_angle_alpha 90.00
_cell_angle_beta 90.00
_cell_angle_gamma 90.00
loop_
_atom_site_label
_atom_site_fract_x
_atom_site_fract_y
_atom_site_fract_z
Te1 0.000 0.032 0.250
Te2 0.000 0.318 0.250
P1 0.000 0.320 0.750
```

Offset from the most stable computed form ... 40 meV/atom
Final energy ... -3.6825 eV per atom
DOS(E_F) ... 1.8 states/eV/f.u.

***

No. 18
Here is a relaxed structure of Th2TeP from Alexandria via LeMat-Bulk. Energies are from PBE.

CIF file:
```
data_Th2TeP
_chemical_formula_sum 'Th6 Te3 P3'
_symmetry_space_group_name_H-M 'R -3 m'
_symmetry_Int_Tables_number 166
_symmetry_space_group_name_Hall '-R 3 2"'
_cell_length_a 4.1852
_cell_length_b 4.1852
_cell_length_c 22.3412
_cell_angle_alpha 90.00
_cell_angle_beta 90.00
_cell_angle_gamma 120.00
loop_
_atom_site_label
_atom_site_fract_x
_atom_site_fract_y
_atom_site_fract_z
Th1 0.0000 0.0000 0.2359
Te1 0.0000 0.0000 0.0000
P1 0.0000 0.0000 0.5000
```

Offset from the most stable computed form ... 0 meV/atom
Final energy ... -7.2153 eV per atom
DOS(E_F) ... 2.3 states/eV/f.u.

***

No. 19
Here is a relaxed structure of Th2TeP from Alexandria via LeMat-Bulk. Energies are from PBE.

CIF file:
```
data_Th2TeP
_chemical_formula_sum 'Th6 Te3 P3'
_symmetry_space_group_name_H-M 'R 3 m'
_symmetry_Int_Tables_number 160
_symmetry_space_group_name_Hall 'R 3 -2"'
_cell_length_a 4.1131
_cell_length_b 4.1131
_cell_length_c 23.2014
_cell_angle_alpha 90.00
_cell_angle_beta 90.00
_cell_angle_gamma 120.00
loop_
_atom_site_label
_atom_site_fract_x
_atom_site_fract_y
_atom_site_fract_z
Th1 0.0000 0.0000 0.0000
Th2 0.0000 0.0000 0.1937
Te1 0.0000 0.0000 0.4292
P1 0.0000 0.0000 0.5968
```

Offset from the most stable computed form ... 40 meV/atom
Final energy ... -7.1755 eV per atom
DOS(E_F) ... 3.6 states/eV/f.u.

***

No. 20
Here is a relaxed structure of Th2Te2P from Alexandria via LeMat-Bulk. Energies are from PBE.

CIF file:
```
data_Th2Te2P
_chemical_formula_sum 'Th8 Te8 P4'
_symmetry_space_group_name_H-M 'P 1 21/c 1'
_symmetry_Int_Tables_number 14
_symmetry_space_group_name_Hall '-P 2ybc'
_cell_length_a 10.824
_cell_length_b 8.099
_cell_length_c 7.517
_cell_angle_alpha 90.00
_cell_angle_beta 97.03
_cell_angle_gamma 90.00
loop_
_atom_site_label
_atom_site_fract_x
_atom_site_fract_y
_atom_site_fract_z
Th1 0.009 0.128 0.263
Th2 0.354 0.546 0.238
Te1 0.199 0.623 0.595
Te2 0.457 0.236 0.488
P1 0.142 0.122 0.609
```

Final energy ... -6.4321 eV per atom
DOS(E_F) ... 2.9 states/eV/f.u.